Compound: YIr2Ru
Source: the Alexandria database
Functional: PBE
Structure: relaxed

abc: 3.3827 3.3827 6.1490
angles: 90.00 90.00 90.00
Fractional coordinates of all 4 atoms:
Y: 0.0000 0.0000 0.0000
Ir: 0.5000 0.5000 0.2878
Ir: 0.5000 0.5000 0.7122
Ru: 0.0000 0.0000 0.5000

Output
Crystal system ... tetragonal
Offset from the most stable computed form ... 0.2184 eV/atom
Space group ... P4/mmm
Spin magnetization ... 1.285 μB/f.u.
N(E_F) ... 5.0 states/eV per cell